CaAsPd2: optimized geometry, PBE.

Unit cell a=5.4587 b=5.4587 c=5.4587 alpha=47.64 beta=47.64 gamma=47.64
Closest atoms and distances in Å follow each position.
Fractional coordinates of all 4 atoms:
Ca1 0.0000 0.0000 0.0000  8 Pd 2.97-3.15
As1 0.5000 0.5000 0.5000  6 Pd 2.61
Pd1 0.2053 0.2053 0.2053  3 As 2.61, 3 Pd 2.78
Pd2 0.7947 0.7947 0.7947  3 As 2.61, 3 Pd 2.78

**Symmetry**: R-3m (166)
**D(E_F)**: 2.61 states/eV/f.u.
**Formation energy from the elements**: -0.6603 eV per atom